# Re2SiAs

Re2SiAs after structural relaxation (GGA-PBE, Alexandria via LeMat-Bulk).

As for the total magnetic moment: 0.00 μB per atom. For the uncorrected formation energy, the calculation gives 0.228 eV/atom.

abc: 2.9002 2.9002 24.0001
angles: 90.00 90.00 120.00
Space group R-3m (No. 166, hexagonal axes)
Asymmetric unit:
Re1 0.0000 0.0000 0.2484 (multiplicity 6)
Si1 0.0000 0.0000 0.5000 (multiplicity 3)
As1 0.0000 0.0000 0.0000 (multiplicity 3)